(1)
Below is Na2LiBiH after structural relaxation, with properties calculated at the PBE-GGA level.

Properties
uncorrected energy	-13.3	eV for the cell shown
DOS at the Fermi energy	0.0939	states/eV/atom
spin magnetization	0.0000	μB per atom

a b c (Å): 5.3344 5.3344 3.6867
angles (deg): 90.00 90.00 90.00
Space group P4/mmm (No. 123)
Asymmetric unit:
1 Na 0.0000 0.5000 0.0000 [2 per cell]
2 Li 0.0000 0.0000 0.5000 [1 per cell]
3 Bi 0.5000 0.5000 0.5000 [1 per cell]
4 H 0.0000 0.0000 0.0000 [1 per cell]


(2)
Below is LiNdBiH after structural relaxation, with properties calculated at the PBE-GGA level.

Properties
uncorrected energy	-33.5	eV for the cell shown
DOS at the Fermi energy	0.0313	states/eV/atom
spin magnetization	0.0000	μB per atom

a b c (Å): 4.3461 4.3461 8.6191
angles (deg): 90.00 90.00 90.00
Space group P4/nmm (No. 129, origin choice 2)
Asymmetric unit:
1 Li 0.2500 0.7500 0.0000 [2 per cell]
2 Nd 0.2500 0.2500 0.3764 [2 per cell]
3 Bi 0.2500 0.2500 0.7849 [2 per cell]
4 H 0.2500 0.7500 0.5000 [2 per cell]


(3)
Below is LiNi2BiH after structural relaxation, with properties calculated at the PBE-GGA level.

Properties
uncorrected energy	-21.1	eV for the cell shown
DOS at the Fermi energy	0.7944	states/eV/atom
spin magnetization	0.0001	μB per atom

a b c (Å): 3.8782 3.8782 4.0154
angles (deg): 90.00 90.00 90.00
Space group P4/mmm (No. 123)
Asymmetric unit:
1 Li 0.0000 0.0000 0.0000 [1 per cell]
2 Ni 0.0000 0.5000 0.5000 [2 per cell]
3 Bi 0.5000 0.5000 0.0000 [1 per cell]
4 H 0.0000 0.0000 0.5000 [1 per cell]


(4)
Below is Li3BiH8O7 after structural relaxation, with properties calculated at the PBE-GGA level.

Properties
uncorrected energy	-191.6	eV for the cell shown
DOS at the Fermi energy	0.0000	states/eV/atom
spin magnetization	0.0000	μB per atom

a b c (Å): 6.4578 6.9929 8.3101
angles (deg): 81.49 85.62 65.71
Space group P-1 (No. 2)
Asymmetric unit:
1 Li 0.0279 0.1862 0.3696 [2 per cell]
2 Li 0.1861 0.3739 0.5853 [2 per cell]
3 Li 0.3514 0.6472 0.3885 [2 per cell]
4 Bi 0.4402 0.8694 0.6746 [2 per cell]
5 H 0.0129 0.8455 0.2808 [2 per cell]
6 H 0.0407 0.8037 0.9733 [2 per cell]
7 H 0.1526 0.9833 0.1092 [2 per cell]
8 H 0.1746 0.5007 0.2580 [2 per cell]
9 H 0.2345 0.2874 0.0102 [2 per cell]
10 H 0.2684 0.4998 0.0239 [2 per cell]
11 H 0.3019 0.5276 0.7526 [2 per cell]
12 H 0.3850 0.6973 0.0904 [2 per cell]
13 O 0.0781 0.1244 0.6180 [2 per cell]
14 O 0.0873 0.1414 0.1075 [2 per cell]
15 O 0.1738 0.3992 0.3537 [2 per cell]
16 O 0.2285 0.7149 0.1238 [2 per cell]
17 O 0.3123 0.3791 0.9581 [2 per cell]
18 O 0.3132 0.5927 0.6400 [2 per cell]
19 O 0.4520 0.8674 0.4175 [2 per cell]


(5)
Below is Li2BiHPb after structural relaxation, with properties calculated at the PBE-GGA level.

Properties
uncorrected energy	-15.8	eV for the cell shown
DOS at the Fermi energy	0.2476	states/eV/atom
spin magnetization	0.0000	μB per atom

a b c (Å): 4.6591 4.6591 4.6997
angles (deg): 90.00 90.00 90.00
Space group P4/mmm (No. 123)
Asymmetric unit:
1 Li 0.0000 0.5000 0.0000 [2 per cell]
2 Bi 0.0000 0.0000 0.5000 [1 per cell]
3 H 0.5000 0.5000 0.0000 [1 per cell]
4 Pb 0.5000 0.5000 0.5000 [1 per cell]


(6)
Below is Li2BiHPb after structural relaxation, with properties calculated at the PBE-GGA level.

Properties
uncorrected energy	-15.5	eV for the cell shown
DOS at the Fermi energy	0.1953	states/eV/atom
spin magnetization	0.0000	μB per atom

a b c (Å): 4.6741 4.6741 4.6173
angles (deg): 90.00 90.00 90.00
Space group P4/mmm (No. 123)
Asymmetric unit:
1 Li 0.0000 0.5000 0.0000 [2 per cell]
2 Bi 0.0000 0.0000 0.5000 [1 per cell]
3 H 0.0000 0.0000 0.0000 [1 per cell]
4 Pb 0.5000 0.5000 0.5000 [1 per cell]


(7)
Below is LiBi2HPd after structural relaxation, with properties calculated at the PBE-GGA level.

Properties
uncorrected energy	-18.9	eV for the cell shown
DOS at the Fermi energy	0.3286	states/eV/atom
spin magnetization	0.0000	μB per atom

a b c (Å): 5.2827 5.2827 3.4712
angles (deg): 90.00 90.00 90.00
Space group P4/mmm (No. 123)
Asymmetric unit:
1 Li 0.0000 0.0000 0.0000 [1 per cell]
2 Bi 0.0000 0.5000 0.5000 [2 per cell]
3 H 0.5000 0.5000 0.5000 [1 per cell]
4 Pd 0.5000 0.5000 0.0000 [1 per cell]


(8)
Below is LiBi2HPd after structural relaxation, with properties calculated at the PBE-GGA level.

Properties
uncorrected energy	-18.8	eV for the cell shown
DOS at the Fermi energy	0.2940	states/eV/atom
spin magnetization	0.0000	μB per atom

a b c (Å): 5.6114 5.6114 3.3539
angles (deg): 90.00 90.00 90.00
Space group P4/mmm (No. 123)
Asymmetric unit:
1 Li 0.0000 0.0000 0.0000 [1 per cell]
2 Bi 0.0000 0.5000 0.5000 [2 per cell]
3 H 0.5000 0.5000 0.0000 [1 per cell]
4 Pd 0.5000 0.5000 0.5000 [1 per cell]


(9)
Below is Li2Bi2HPd4 after structural relaxation, with properties calculated at the PBE-GGA level.

Properties
uncorrected energy	-77.9	eV for the cell shown
DOS at the Fermi energy	0.7529	states/eV/atom
spin magnetization	0.0000	μB per atom

a b c (Å): 5.9845 5.9845 7.9571
angles (deg): 90.00 90.00 90.00
Space group I4/mmm (No. 139)
Asymmetric unit:
1 Li 0.0000 0.0000 0.2326 [4 per cell]
2 Bi 0.0000 0.5000 0.2500 [4 per cell]
3 H 0.0000 0.0000 0.5000 [2 per cell]
4 Pd 0.2439 0.2439 0.5000 [8 per cell]


(10)
Below is LiBi3H2Pd9 after structural relaxation, with properties calculated at the PBE-GGA level.

Properties
uncorrected energy	-70.0	eV for the cell shown
DOS at the Fermi energy	0.3974	states/eV/atom
spin magnetization	0.0000	μB per atom

a b c (Å): 5.6601 5.6601 8.6615
angles (deg): 90.00 90.00 120.00
Space group P-3m1 (No. 164)
Asymmetric unit:
1 Li 0.0000 0.0000 0.0000 [1 per cell]
2 Bi 0.0000 0.0000 0.5000 [1 per cell]
3 Bi 0.3333 0.6667 0.1043 [2 per cell]
4 H 0.3333 0.6667 0.6039 [2 per cell]
5 Pd 0.0000 0.5000 0.5000 [3 per cell]
6 Pd 0.1700 0.3401 0.7834 [6 per cell]


(11)
Below is LiBiH2Pd5 after structural relaxation, with properties calculated at the PBE-GGA level.

Properties
uncorrected energy	-40.0	eV for the cell shown
DOS at the Fermi energy	0.3074	states/eV/atom
spin magnetization	0.0000	μB per atom

a b c (Å): 4.0961 4.0961 7.1985
angles (deg): 90.00 90.00 90.00
Space group P4/mmm (No. 123)
Asymmetric unit:
1 Li 0.0000 0.0000 0.0000 [1 per cell]
2 Bi 0.0000 0.0000 0.5000 [1 per cell]
3 H 0.5000 0.5000 0.2140 [2 per cell]
4 Pd 0.0000 0.5000 0.2072 [4 per cell]
5 Pd 0.5000 0.5000 0.5000 [1 per cell]


(12)
Below is LiPmBiH after structural relaxation, with properties calculated at the PBE-GGA level.

Properties
uncorrected energy	-33.5	eV for the cell shown
DOS at the Fermi energy	0.0503	states/eV/atom
spin magnetization	0.0000	μB per atom

a b c (Å): 4.3139 4.3139 8.6132
angles (deg): 90.00 90.00 90.00
Space group P4/nmm (No. 129, origin choice 2)
Asymmetric unit:
1 Li 0.2500 0.7500 0.0000 [2 per cell]
2 Pm 0.2500 0.2500 0.3784 [2 per cell]
3 Bi 0.2500 0.2500 0.7835 [2 per cell]
4 H 0.2500 0.7500 0.5000 [2 per cell]